Entry 1:
SrCd3Cu | SCAN | PBEsol geometry Values from VASP.

Quantum ESPRESSO input file:
```
&SYSTEM
  ibrav = 0, nat = 5, ntyp = 3
/
ATOMIC_SPECIES
Cd 112.41 Cd.upf
Sr 87.62 Sr.upf
Cu 63.55 Cu.upf
ATOMIC_POSITIONS angstrom
Cd 2.935 -0.185 0.896
Cd 0.027 3.027 0.536
Sr 0.000 0.000 0.000
Cu 2.047 2.339 4.324
Cd -0.915 -0.504 2.891
CELL_PARAMETERS angstrom
-1.830 -1.008 5.783
5.870 -0.369 1.793
0.053 6.054 1.072
```

Computed properties:
The formation energy is 107.9 kJ per mole of atoms. The value obtained for the density of states at the Fermi level is 0.437 states/eV per atom. The total energy comes out at -123.1 eV for the cell shown.

=====

Entry 2:
SrCdCu | SCAN | PBEsol geometry Values from VASP.

Quantum ESPRESSO input file:
```
&SYSTEM
  ibrav = 0, nat = 3, ntyp = 3
/
ATOMIC_SPECIES
Cd 112.41 Cd.upf
Cu 63.55 Cu.upf
Sr 87.62 Sr.upf
ATOMIC_POSITIONS angstrom
Cd 0.000 0.000 0.000
Cu 2.583 -0.311 0.396
Sr 0.771 -2.986 1.370
CELL_PARAMETERS angstrom
-0.194 -3.843 -1.748
4.297 0.444 -1.453
-0.846 -1.819 4.092
```

Computed properties:
The formation energy is -16.9 kJ per mole of atoms. The value obtained for the density of states at the Fermi level is 0.545 states/eV per atom. The total energy comes out at -68.4 eV for the cell shown.

=====

Entry 3:
Ta2CdCu | SCAN | PBEsol geometry Values from VASP.

Quantum ESPRESSO input file:
```
&SYSTEM
  ibrav = 0, nat = 4, ntyp = 3
/
ATOMIC_SPECIES
Ta 180.95 Ta.upf
Cd 112.41 Cd.upf
Cu 63.55 Cu.upf
ATOMIC_POSITIONS angstrom
Ta 1.451 -1.630 4.481
Ta 1.451 -0.017 2.220
Cd 1.451 2.827 0.122
Cu 0.000 2.389 2.352
CELL_PARAMETERS angstrom
2.902 0.000 0.000
0.000 4.993 -0.015
-1.451 -1.961 4.599
```

Computed properties:
The formation energy is 26.0 kJ per mole of atoms. The value obtained for the density of states at the Fermi level is 0.558 states/eV per atom. The total energy comes out at -177.7 eV for the cell shown.

=====

Question: Look up the density of states at the Fermi level of the third one.
Answer: 0.558 states/eV per atom

=====

Copy entry 1 word for word.
SrCd3Cu | SCAN | PBEsol geometry Values from VASP.

Quantum ESPRESSO input file:
```
&SYSTEM
  ibrav = 0, nat = 5, ntyp = 3
/
ATOMIC_SPECIES
Cd 112.41 Cd.upf
Sr 87.62 Sr.upf
Cu 63.55 Cu.upf
ATOMIC_POSITIONS angstrom
Cd 2.935 -0.185 0.896
Cd 0.027 3.027 0.536
Sr 0.000 0.000 0.000
Cu 2.047 2.339 4.324
Cd -0.915 -0.504 2.891
CELL_PARAMETERS angstrom
-1.830 -1.008 5.783
5.870 -0.369 1.793
0.053 6.054 1.072
```

Computed properties:
The formation energy is 107.9 kJ per mole of atoms. The value obtained for the density of states at the Fermi level is 0.437 states/eV per atom. The total energy comes out at -123.1 eV for the cell shown.